Record 1
The following is a PBE calculation of a relaxed H6PtRh2Pb crystal, from the Alexandria database.

Values from the calculation:
crystal system: monoclinic
DFT total energy: -87.9 eV/cell
magnetization: 0.0 μB per formula unit
D(E_F): 0.222 states/eV per atom

Unit cell a=5.852 b=5.852 c=5.769 alpha=95.71 beta=95.71 gamma=97.88
Fractional coordinates of all 20 atoms:
1 H 0.019 0.141 0.089
2 H 0.084 0.620 0.323
3 H 0.141 0.019 0.589
4 H 0.252 0.334 0.428
5 H 0.334 0.252 0.928
6 H 0.380 0.916 0.177
7 H 0.620 0.084 0.823
8 H 0.666 0.748 0.072
9 H 0.748 0.666 0.572
10 H 0.859 0.981 0.411
11 H 0.916 0.380 0.677
12 H 0.981 0.859 0.911
13 Pt 0.101 0.899 0.250
14 Pt 0.899 0.101 0.750
15 Rh 0.189 0.402 0.155
16 Rh 0.402 0.189 0.655
17 Rh 0.598 0.811 0.345
18 Rh 0.811 0.598 0.845
19 Pb 0.327 0.673 0.750
20 Pb 0.673 0.327 0.250



Record 2
The following is a PBE calculation of a relaxed H6RuPtPb2 crystal, from the Alexandria database.

Values from the calculation:
crystal system: tetragonal
DFT total energy: -41.7 eV/cell
magnetization: 0.0 μB per formula unit
D(E_F): 0.171 states/eV per atom

Unit cell a=5.605 b=5.605 c=5.605 alpha=125.92 beta=125.92 gamma=80.02
Fractional coordinates of all 10 atoms:
1 H 0.201 0.201 0.000
2 H 0.254 0.254 0.507
3 H 0.254 0.746 0.000
4 H 0.746 0.254 0.000
5 H 0.746 0.746 0.493
6 H 0.799 0.799 0.000
7 Ru 0.000 0.000 0.000
8 Pt 0.500 0.500 0.000
9 Pb 0.250 0.750 0.500
10 Pb 0.750 0.250 0.500



Record 3
The following is a PBE calculation of a relaxed HPtPbS2 crystal, from the Alexandria database.

Values from the calculation:
crystal system: tetragonal
DFT total energy: -17.4 eV/cell
magnetization: 0.0 μB per formula unit
D(E_F): 0.845 states/eV per atom

Unit cell a=5.165 b=5.165 c=3.599 alpha=90.00 beta=90.00 gamma=90.00
Fractional coordinates of all 5 atoms:
1 H 0.000 0.000 0.000
2 Pt 0.500 0.500 0.000
3 Pb 0.000 0.000 0.500
4 S 0.000 0.500 0.500
5 S 0.500 0.000 0.500